Below is a relaxed CeSn2Ru crystal, with properties calculated at the PBE-GGA level.

Values from the calculation:
Energy relative to the elements   -0.39 eV per atom

a b c (Å): 4.5372 4.5372 15.5962
angles (deg): 90.00 90.00 120.00
Space group R-3m (No. 166, hexagonal axes)
Asymmetric unit:
Ce 0.0000 0.0000 0.0000 x3
Sn 0.0000 0.0000 0.2232 x6
Ru 0.0000 0.0000 0.5000 x3